[1]
Crystalline LiAgO2 at its relaxed geometry. Source: the Alexandria database, functional PBE.

Cell and atoms, written as extended XYZ:
```
4
Lattice="1.6910 0.9763 5.5028 -1.6910 0.9763 5.5028 0.0000 -1.9525 5.5028" Properties=species:S:1:pos:R:3 pbc="T T T"
Li 0.0000 0.0000 0.0000
Ag 0.0000 0.0000 8.2543
O 0.0000 0.0000 1.7892
O 0.0000 0.0000 14.7193
```

Results
Energy relative to the elements, uncorrected in meV per atom: -445
DOS(E_F) in states/eV per cell: 1.99
Symmetry: R-3m


[2]
Crystalline NaFeBSe2 at its relaxed geometry. Source: the Alexandria database, functional PBE.

Cell and atoms, written as extended XYZ:
```
5
Lattice="4.6984 0.0000 0.0000 0.0000 4.6984 0.0000 0.0000 0.0000 3.8358" Properties=species:S:1:pos:R:3 pbc="T T T"
Na 0.0000 0.0000 0.0000
Fe 2.3492 2.3492 0.0000
B 2.3492 2.3492 1.9179
Se 0.0000 2.3492 1.9179
Se 2.3492 0.0000 1.9179
```

Results
Energy relative to the elements, uncorrected in meV per atom: 440
DOS(E_F) in states/eV per cell: 7.70
Symmetry: P4/mmm


[3]
Crystalline CaFeW4 at its relaxed geometry. Source: the Alexandria database, functional PBE.

Cell and atoms, written as extended XYZ:
```
6
Lattice="0.0000 3.8032 3.8032 3.8032 0.0000 3.8032 3.8032 3.8032 0.0000" Properties=species:S:1:pos:R:3 pbc="T T T"
Ca 0.0000 0.0000 0.0000
Fe 5.7048 5.7048 5.7048
W 2.8497 2.8497 2.8497
W 4.7567 4.7567 2.8497
W 4.7567 2.8497 4.7567
W 2.8497 4.7567 4.7567
```

Results
DOS(E_F) in states/eV per cell: 4.03
Symmetry: F-43m
E_form in eV per atom: 0.692


[4]
Crystalline CaTbPmTm at its relaxed geometry. Source: the Alexandria database, functional PBE.

Cell and atoms, written as extended XYZ:
```
4
Lattice="0.0000 4.0736 4.0736 4.0736 0.0000 4.0736 4.0736 4.0736 0.0000" Properties=species:S:1:pos:R:3 pbc="T T T"
Ca 0.0000 0.0000 0.0000
Tb 2.0368 2.0368 2.0368
Pm 6.1104 6.1104 6.1104
Tm 4.0736 4.0736 4.0736
```

Results
DOS(E_F) in states/eV per cell: 6.48
Symmetry: F-43m
E_form in eV per atom: 0.139


[5]
Crystalline KSr2SnRh at its relaxed geometry. Source: the Alexandria database, functional PBE.

Cell and atoms, written as extended XYZ:
```
5
Lattice="5.9109 0.0000 0.0000 0.0000 5.9109 0.0000 0.0000 0.0000 5.2345" Properties=species:S:1:pos:R:3 pbc="T T T"
K 0.0000 0.0000 0.0000
Sr 0.0000 2.9555 2.6172
Sr 2.9555 0.0000 2.6172
Sn 2.9555 2.9555 0.0000
Rh 2.9555 2.9555 2.6172
```

Results
DOS(E_F) in states/eV per cell: 3.47
Energy relative to the lowest polymorph listed for this composition in meV per atom: 0.0
Symmetry: P4/mmm
E_form in eV per atom: -0.293


[6]
Crystalline BiP at its relaxed geometry. Source: the Alexandria database, functional PBE.

Cell and atoms, written as extended XYZ:
```
4
Lattice="3.2896 0.0000 0.0000 -0.0316 5.6088 0.0000 -1.5318 -1.1638 6.4167" Properties=species:S:1:pos:R:3 pbc="T T T"
Bi 0.0071 2.3652 1.5924
Bi 1.7190 2.0799 4.8243
P 0.0245 5.0557 2.4685
P 1.7017 -0.6107 3.9482
```

Results
DOS(E_F) in states/eV per cell: 1.25
Energy relative to the lowest polymorph listed for this composition in meV per atom: 0.0
Symmetry: P-1
E_form in eV per atom: 0.067


[7]
Crystalline TlVN3 at its relaxed geometry. Source: the Alexandria database, functional PBE.

Cell and atoms, written as extended XYZ:
```
5
Lattice="3.9537 0.0000 0.0000 0.0000 3.9537 0.0000 0.0000 0.0000 3.9537" Properties=species:S:1:pos:R:3 pbc="T T T"
Tl 0.0000 0.0000 0.0000
V 1.9768 1.9768 1.9768
N 0.0000 1.9768 1.9768
N 1.9768 0.0000 1.9768
N 1.9768 1.9768 0.0000
```

Results
Energy relative to the elements, uncorrected in meV per atom: 664
DOS(E_F) in states/eV per cell: 2.10
Symmetry: Pm-3m


[8]
Crystalline EuGdGaRh at its relaxed geometry. Source: the Alexandria database, functional PBE.

Cell and atoms, written as extended XYZ:
```
4
Lattice="0.0000 3.5738 3.5738 3.5738 0.0000 3.5738 3.5738 3.5738 0.0000" Properties=species:S:1:pos:R:3 pbc="T T T"
Eu 0.0000 0.0000 0.0000
Gd 3.5738 3.5738 3.5738
Ga 5.3607 5.3607 5.3607
Rh 1.7869 1.7869 1.7869
```

Results
DOS(E_F) in states/eV per cell: 5.00
Symmetry: F-43m
E_form in eV per atom: -0.498


[9]
Crystalline TlWSe2 at its relaxed geometry. Source: the Alexandria database, functional PBE.

Cell and atoms, written as extended XYZ:
```
4
Lattice="-1.6744 3.0270 5.2078 1.6744 -3.0270 5.2078 1.6744 3.0270 -5.2078" Properties=species:S:1:pos:R:3 pbc="T T T"
Tl 0.0000 0.0000 0.0000
W 0.0000 0.0000 5.2078
Se 1.6744 0.0000 3.3621
Se 0.0000 3.0270 1.8457
```

Results
Energy relative to the elements, uncorrected in meV per atom: 201
DOS(E_F) in states/eV per cell: 4.17
Energy relative to the lowest polymorph listed for this composition in meV per atom: 404.8
Symmetry: Immm


[10]
Crystalline Tl2CoCuBr6 at its relaxed geometry. Source: the Alexandria database, functional PBE.

Cell and atoms, written as extended XYZ:
```
20
Lattice="6.8702 0.0000 0.0000 0.0000 6.8692 0.0000 -6.8131 0.0000 11.6736" Properties=species:S:1:pos:R:3 pbc="T T T"
Tl -0.0004 0.0255 2.9191
Tl -3.4069 3.4091 8.7559
Tl 3.4641 3.4600 2.9177
Tl 0.0576 6.8437 8.7545
Co 3.4351 0.0000 0.0000
Co 0.0286 3.4346 5.8368
Cu -3.4065 0.0000 5.8368
Cu 0.0000 3.4346 0.0000
Br -5.4948 1.3141 11.6525
Br -2.0882 2.1205 5.8157
Br 0.0399 3.4558 3.4020
Br -3.3667 6.8479 9.2388
Br 2.1215 4.7520 0.0066
Br -1.2850 5.5517 5.8434
Br 1.3422 1.3174 5.8302
Br -2.0643 2.1172 11.6670
Br 3.4238 0.0212 2.4348
Br 0.0173 3.4133 8.2716
Br 2.1454 4.7487 5.8579
Br 5.5519 5.5551 0.0211
```

Results
Energy relative to the elements, uncorrected in meV per atom: -468
DOS(E_F) in states/eV per cell: 0.62
Symmetry: P2_1/c


[11]
Crystalline CeEr3In at its relaxed geometry. Source: the Alexandria database, functional PBE.

Cell and atoms, written as extended XYZ:
```
10
Lattice="2.4267 -12.2180 0.0000 2.4267 12.2180 0.0000 0.0000 0.0000 4.8489" Properties=species:S:1:pos:R:3 pbc="T T T"
Ce 2.4267 8.5988 3.6367
Ce 2.4267 -8.5988 1.2122
Er 2.4267 11.0360 1.2122
Er 2.4267 6.1127 1.2122
Er 2.4267 1.3034 1.2122
Er 2.4267 -1.3034 3.6367
Er 2.4267 -6.1127 3.6367
Er 2.4267 -11.0360 3.6367
In 2.4267 3.7384 3.6367
In 2.4267 -3.7384 1.2122
```

Results
DOS(E_F) in states/eV per cell: 19.48
Energy relative to the lowest polymorph listed for this composition in meV per atom: 31.7
Symmetry: Cmcm
E_form in eV per atom: -0.114


[12]
Crystalline PmHgPt4 at its relaxed geometry. Source: the Alexandria database, functional PBE.

Cell and atoms, written as extended XYZ:
```
6
Lattice="0.0000 3.8419 3.8419 3.8419 0.0000 3.8419 3.8419 3.8419 0.0000" Properties=species:S:1:pos:R:3 pbc="T T T"
Pm 0.0000 0.0000 0.0000
Hg 1.9210 1.9210 1.9210
Pt 4.7987 2.8851 2.8851
Pt 2.8851 4.7987 2.8851
Pt 2.8851 2.8851 4.7987
Pt 4.7987 4.7987 4.7987
```

Results
DOS(E_F) in states/eV per cell: 3.28
Symmetry: F-43m
E_form in eV per atom: -0.755


[13]
Crystalline LiMnTe2I at its relaxed geometry. Source: the Alexandria database, functional PBE.

Cell and atoms, written as extended XYZ:
```
5
Lattice="5.0316 0.0000 0.0000 0.0000 5.0316 0.0000 0.0000 0.0000 5.4184" Properties=species:S:1:pos:R:3 pbc="T T T"
Li 0.0000 0.0000 0.0000
Mn 2.5158 2.5158 2.7092
Te 0.0000 2.5158 0.0000
Te 2.5158 0.0000 0.0000
I 0.0000 0.0000 2.7092
```

Results
Energy relative to the elements, uncorrected in meV per atom: 918
DOS(E_F) in states/eV per cell: 8.07
Energy relative to the lowest polymorph listed for this composition in meV per atom: 819.5
Symmetry: P4/mmm


[14]
Crystalline CsGe3Se3 at its relaxed geometry. Source: the Alexandria database, functional PBE.

Cell and atoms, written as extended XYZ:
```
14
Lattice="4.3919 2.5357 7.0328 -4.3919 2.5357 7.0328 0.0000 -5.0713 7.0328" Properties=species:S:1:pos:R:3 pbc="T T T"
Cs 0.0000 0.0000 3.5754
Cs 0.0000 0.0000 17.5229
Ge -1.2429 -2.5803 8.0642
Ge -2.8560 -0.2138 13.0342
Ge -1.6131 2.3665 8.0642
Ge 1.6131 -2.3665 13.0342
Ge 2.8560 0.2138 8.0641
Ge 1.2429 2.5803 13.0342
Se -2.3718 -0.1061 8.3774
Se -1.0940 -2.1070 12.7210
Se 1.2777 -2.0010 8.3774
Se -1.2777 2.0010 12.7210
Se 1.0940 2.1070 8.3774
Se 2.3718 0.1061 12.7210
```

Results
Energy relative to the elements, uncorrected in meV per atom: -278
DOS(E_F) in states/eV per cell: 4.34
Symmetry: R-3


[15]
Crystalline RbMgNb at its relaxed geometry. Source: the Alexandria database, functional PBE.

Cell and atoms, written as extended XYZ:
```
6
Lattice="4.5998 0.0000 0.0000 -2.2999 3.9835 0.0000 0.0000 0.0000 12.6928" Properties=species:S:1:pos:R:3 pbc="T T T"
Rb 0.0000 2.6557 2.2016
Rb 2.2999 1.3278 10.4911
Mg 0.0000 0.0000 4.9039
Mg 0.0000 0.0000 7.7888
Nb 0.0000 2.6557 6.3534
Nb 2.2999 1.3278 6.3394
```

Results
DOS(E_F) in states/eV per cell: 0.30
Energy relative to the lowest polymorph listed for this composition in meV per atom: 55.9
Symmetry: P-3m1
E_form in eV per atom: 0.439


[16]
Crystalline Na3NpSc2S6 at its relaxed geometry. Source: the Alexandria database, functional PBE.

Cell and atoms, written as extended XYZ:
```
12
Lattice="3.3430 -5.7921 0.0000 3.3430 5.7921 0.0000 -2.2338 0.0000 6.6500" Properties=species:S:1:pos:R:3 pbc="T T T"
Na 0.0000 0.0000 0.0000
Na 3.3430 1.9177 0.0000
Na 3.3430 -1.9177 0.0000
Np 2.2261 0.0000 3.3250
Sc 2.2261 3.8588 3.3250
Sc 2.2261 -3.8588 3.3250
S 1.0686 2.0060 1.8625
S -0.0905 0.0000 4.7926
S 1.0686 -2.0060 1.8625
S 3.3836 2.0060 4.7874
S 4.5427 0.0000 1.8574
S 3.3836 -2.0060 4.7874
```

Results
Energy relative to the elements, uncorrected in meV per atom: -1593
DOS(E_F) in states/eV per cell: 9.34
Symmetry: C2/m


[17]
Crystalline LiAcEuIr at its relaxed geometry. Source: the Alexandria database, functional PBE.

Cell and atoms, written as extended XYZ:
```
4
Lattice="0.0000 3.6945 3.6945 3.6945 0.0000 3.6945 3.6945 3.6945 0.0000" Properties=species:S:1:pos:R:3 pbc="T T T"
Li 0.0000 0.0000 0.0000
Ac 1.8472 1.8472 1.8472
Eu 5.5417 5.5417 5.5417
Ir 3.6945 3.6945 3.6945
```

Results
DOS(E_F) in states/eV per cell: 2.18
Symmetry: F-43m
E_form in eV per atom: -0.287


[18]
Crystalline Sr2SnGeSe5 at its relaxed geometry. Source: the Alexandria database, functional PBE.

Cell and atoms, written as extended XYZ:
```
18
Lattice="2.1091 -9.3964 0.0000 2.1091 9.3964 0.0000 0.0000 0.0000 12.9066" Properties=species:S:1:pos:R:3 pbc="T T T"
Sr 2.1091 7.1262 6.4533
Sr 2.1091 7.0930 1.9553
Sr 2.1091 -7.0930 8.4086
Sr 2.1091 -7.1262 0.0000
Sn 2.1091 5.5427 11.0571
Sn 2.1091 -5.5427 4.6038
Ge 2.1091 1.0569 3.0696
Ge 2.1091 -1.0569 9.5229
Se 2.1091 8.9341 10.7565
Se 2.1091 3.9443 6.5684
Se 2.1091 3.3388 2.3357
Se 2.1091 2.8275 10.6791
Se 2.1091 0.0908 7.4336
Se 2.1091 -0.0908 0.9803
Se 2.1091 -2.8275 4.2258
Se 2.1091 -3.3388 8.7890
Se 2.1091 -3.9443 0.1151
Se 2.1091 -8.9341 4.3032
```

Results
Energy relative to the elements, uncorrected in meV per atom: -1093
DOS(E_F) in states/eV per cell: 2.96
Symmetry: Cmc2_1


[19]
Crystalline CsPuTlI4 at its relaxed geometry. Source: the Alexandria database, functional PBE.

Cell and atoms, written as extended XYZ:
```
7
Lattice="-3.1195 3.1195 9.2498 3.1195 -3.1195 9.2498 3.1195 3.1195 -9.2498" Properties=species:S:1:pos:R:3 pbc="T T T"
Cs 0.0000 0.0000 0.0000
Pu 0.0000 0.0000 6.7725
Tl 0.0000 0.0000 13.4022
I 0.0000 0.0000 3.6551
I 3.1195 0.0000 6.7055
I 0.0000 0.0000 10.0069
I 0.0000 3.1195 6.7055
```

Results
Energy relative to the elements, uncorrected in meV per atom: -1009
DOS(E_F) in states/eV per cell: 19.83
Symmetry: I4mm


[20]
Crystalline SnRuI2O at its relaxed geometry. Source: the Alexandria database, functional PBE.

Cell and atoms, written as extended XYZ:
```
5
Lattice="5.9673 0.0000 0.0000 0.0000 5.9673 0.0000 0.0000 0.0000 3.9793" Properties=species:S:1:pos:R:3 pbc="T T T"
Sn 0.0000 0.0000 0.0000
Ru 2.9836 2.9836 1.9897
I 0.0000 2.9836 0.0000
I 2.9836 0.0000 0.0000
O 0.0000 0.0000 1.9897
```

Results
Energy relative to the elements, uncorrected in meV per atom: 481
DOS(E_F) in states/eV per cell: 2.19
Energy relative to the lowest polymorph listed for this composition in meV per atom: 629.3
Symmetry: P4/mmm